{
  "formula": "Na3GaPt",
  "functional": "GGA-PBE",
  "state": "relaxed",
  "relative_energy_ev_per_atom": 0.000,
  "formation_energy_ev_per_atom": 0.265,
  "cell": [[-4.356, 2.840, -1.493], [0.648, -1.687, -5.099], [-3.142, -4.285, 1.018]],
  "species": ["Na", "Na", "Na", "Ga", "Pt"],
  "fractional_positions": [[0.000, 0.500, 0.000], [0.000, 0.000, 0.500], [0.500, 0.000, 0.000], [0.500, 0.500, 0.500], [0.000, 0.000, 0.000]]
}

***

{
  "formula": "Sm2Dy2HoEr2",
  "functional": "GGA-PBE",
  "state": "relaxed",
  "formation_energy_ev_per_atom": 0.087,
  "cell": [[-1.060, -2.897, 1.665], [4.466, -1.680, -3.771], [10.103, -0.240, 6.012]],
  "species": ["Sm", "Sm", "Dy", "Dy", "Ho", "Er", "Er"],
  "fractional_positions": [[0.670, 0.340, 0.916], [0.330, 0.660, 0.084], [0.449, 0.897, 0.769], [0.551, 0.103, 0.231], [0.000, 0.000, 0.500], [0.774, 0.549, 0.363], [0.226, 0.451, 0.637]]
}

***

{
  "formula": "Rb4PO5",
  "functional": "GGA-PBE",
  "state": "relaxed",
  "formation_energy_uncorrected_mev_per_atom": -1614,
  "relative_energy_ev_per_atom": 0.000,
  "cell": [[5.797, 0.000, 0.000], [2.899, 5.862, 0.000], [2.899, 0.000, 5.862]],
  "species": ["Rb", "Rb", "Rb", "Rb", "P", "O", "O", "O", "O", "O"],
  "fractional_positions": [[0.428, 0.387, 0.811], [0.815, 0.811, 0.613], [0.238, 0.189, 0.387], [0.625, 0.613, 0.189], [0.069, 0.000, 0.000], [0.939, 0.248, 0.870], [0.187, 0.870, 0.752], [0.809, 0.130, 0.248], [0.057, 0.752, 0.130], [0.343, 0.000, 0.000]]
}

***

{
  "formula": "Pm2NdN",
  "functional": "GGA-PBE",
  "state": "relaxed",
  "formation_energy_uncorrected_mev_per_atom": -655,
  "cell": [[3.613, 0.000, 0.000], [1.807, 3.129, 0.000], [1.807, 1.043, 9.386]],
  "species": ["N", "Nd", "Pm", "Pm"],
  "fractional_positions": [[0.000, 0.000, 0.000], [0.500, 0.500, 0.500], [0.716, 0.716, 0.851], [0.284, 0.284, 0.149]]
}

***

{
  "formula": "TbPmGaCo",
  "functional": "GGA-PBE",
  "state": "relaxed",
  "relative_energy_ev_per_atom": 0.000,
  "formation_energy_ev_per_atom": -0.339,
  "cell": [[-2.473, 0.487, 3.297], [3.312, -0.251, 2.523], [1.860, 4.954, -1.949]],
  "species": ["Tb", "Pm", "Ga", "Co"],
  "fractional_positions": [[0.861, 0.500, 0.722], [0.146, 0.000, 0.291], [0.562, 0.500, 0.123], [0.432, 0.000, 0.864]]
}

***

{
  "formula": "Ac2Ge2S",
  "functional": "GGA-PBE",
  "state": "relaxed",
  "formation_energy_uncorrected_mev_per_atom": -1189,
  "cell": [[-1.792, 3.661, -1.775], [-1.377, -1.408, 3.986], [7.273, 2.468, 3.384]],
  "species": ["Ac", "Ac", "Ge", "Ge", "S"],
  "fractional_positions": [[0.819, 0.409, 0.228], [0.181, 0.591, 0.772], [0.344, 0.172, 0.516], [0.656, 0.828, 0.484], [0.000, 0.000, 0.000]]
}

***

{
  "formula": "PmPr2Pd",
  "functional": "GGA-PBE",
  "state": "relaxed",
  "relative_energy_ev_per_atom": 0.153,
  "formation_energy_ev_per_atom": -0.246,
  "cell": [[-1.347, -3.526, -0.794], [2.073, -2.410, -2.184], [4.698, -5.513, 7.135]],
  "species": ["Pr", "Pr", "Pd", "Pm"],
  "fractional_positions": [[0.268, 0.268, 0.196], [0.732, 0.732, 0.804], [0.000, 0.000, 0.000], [0.500, 0.500, 0.500]]
}

***

{
  "formula": "Y3SiB",
  "functional": "GGA-PBE",
  "state": "relaxed",
  "formation_energy_uncorrected_mev_per_atom": -278,
  "relative_energy_ev_per_atom": 0.000,
  "cell": [[4.936, 0.000, 0.000], [0.000, 4.936, 0.000], [0.000, 0.000, 4.936]],
  "species": ["Y", "Y", "Y", "Si", "B"],
  "fractional_positions": [[0.000, 0.500, 0.000], [0.000, 0.000, 0.500], [0.500, 0.000, 0.000], [0.500, 0.500, 0.500], [0.000, 0.000, 0.000]]
}

***

| no. | final energy (eV per atom) | volume (Å³/cell) |
| --- | --- | --- |
| 1 | -2.340 | 158 |
| 2 | -4.534 | 226 |
| 3 | -5.021 | 199 |
| 4 | -6.303 | 106 |
| 5 | -5.217 | 91 |
| 6 | -5.505 | 137 |
| 7 | -5.121 | 128 |
| 8 | -6.577 | 120 |